1.
{
  "formula": "Li2MgZn2",
  "functional": "PBE",
  "state": "relaxed",
  "sg": "P2_1/m (11)",
  "mass_density_g_cm3": 3.37,
  "lattice": [[-2.767, 0.366, -0.463], [0.163, -3.037, -3.377], [-2.666, -9.503, 8.419]],
  "species": ["Zn", "Zn", "Zn", "Li", "Zn", "Li", "Mg", "Mg", "Li", "Li"],
  "frac_coords": [[0.250, 0.250, 0.960], [0.250, 0.751, 0.651], [0.750, 0.249, 0.349], [0.750, 0.750, 0.463], [0.750, 0.750, 0.040], [0.250, 0.751, 0.856], [0.250, 0.749, 0.251], [0.750, 0.251, 0.749], [0.750, 0.249, 0.144], [0.250, 0.250, 0.537]]
}

---

2.
{
  "formula": "Li5Mg2Zn3",
  "functional": "PBE",
  "state": "relaxed",
  "sg": "Ibam (72)",
  "mass_density_g_cm3": 2.50,
  "lattice": [[-4.060, -0.874, 3.192], [3.200, -4.036, 7.262], [-1.920, 7.732, 3.974]],
  "species": ["Li", "Li", "Li", "Mg", "Zn", "Li", "Zn", "Li", "Li", "Zn", "Zn", "Li", "Mg", "Li", "Mg", "Zn", "Mg", "Li", "Zn", "Li"],
  "frac_coords": [[0.503, 0.247, 0.247], [0.413, 0.244, 0.931], [0.087, 0.069, 0.756], [0.647, 0.127, 0.578], [0.120, 0.232, 0.529], [0.913, 0.931, 0.244], [0.880, 0.768, 0.471], [0.587, 0.756, 0.069], [0.497, 0.753, 0.753], [0.620, 0.529, 0.232], [0.380, 0.471, 0.768], [0.997, 0.753, 0.753], [0.147, 0.578, 0.127], [0.250, 0.500, 0.500], [0.353, 0.873, 0.422], [0.750, 0.000, 0.000], [0.853, 0.422, 0.873], [0.003, 0.247, 0.247], [0.250, 0.000, 0.000], [0.750, 0.500, 0.500]]
}

---

3.
{
  "formula": "LiMgZn17",
  "functional": "PBE",
  "state": "relaxed",
  "sg": "R3m (160)",
  "mass_density_g_cm3": 6.25,
  "lattice": [[6.724, 0.032, 0.830], [0.737, 6.683, 0.830], [0.036, 0.032, 6.775]],
  "species": ["Mg", "Zn", "Zn", "Zn", "Zn", "Zn", "Zn", "Zn", "Zn", "Zn", "Zn", "Zn", "Zn", "Zn", "Li", "Zn", "Zn", "Zn", "Zn"],
  "frac_coords": [[0.337, 0.337, 0.337], [0.349, 0.844, 0.349], [0.897, 0.897, 0.897], [0.164, 0.649, 0.649], [0.649, 0.164, 0.649], [0.000, 0.308, 0.692], [0.308, 0.000, 0.692], [0.349, 0.349, 0.844], [0.502, 0.997, 0.997], [0.649, 0.649, 0.164], [0.692, 0.308, 0.000], [0.308, 0.692, 0.000], [0.997, 0.997, 0.502], [0.997, 0.502, 0.997], [0.663, 0.663, 0.663], [0.000, 0.692, 0.308], [0.104, 0.104, 0.104], [0.692, 0.000, 0.308], [0.844, 0.349, 0.349]]
}

---

Number 1: magnetization 0.000 μB per atom, formation energy from the elements -0.111 eV per atom, electronic total energy -0.125 Ry per atom. Number 2: magnetization 0.000 μB per atom, formation energy from the elements -0.010 eV per atom, electronic total energy -0.123 Ry per atom. Number 3: magnetization 0.000 μB per atom, formation energy from the elements -0.025 eV per atom, electronic total energy -0.099 Ry per atom.